A plane-wave DFT calculation with PBE was carried out for a relaxed In3HRh crystal.

```
5
Lattice="5.1263 0.0000 0.0000 0.0000 5.1263 0.0000 0.0000 0.0000 5.1263" Properties=species:S:1:pos:R:3 pbc="T T T"
In 0.0000 0.0000 2.5631
In 0.0000 2.5631 0.0000
In 2.5631 0.0000 0.0000
H 2.5631 2.5631 2.5631
Rh 0.0000 0.0000 0.0000
```

Computed properties:
Magnetization = 0.0 μB/f.u.
Final energy = -3.598 eV per atom
Space-group type = Pm-3m, No. 221
D(E_F) = 0.59 states/eV/atom

=====

A plane-wave DFT calculation with PBE was carried out for a relaxed Ca2TaTe crystal.

```
4
Lattice="3.7611 0.0000 0.0000 0.0000 3.7611 0.0000 0.0000 0.0000 7.5947" Properties=species:S:1:pos:R:3 pbc="T T T"
Ca 0.0000 0.0000 1.7999
Ca 0.0000 0.0000 5.7949
Ta 1.8806 1.8806 3.7974
Te 1.8806 1.8806 0.0000
```

Computed properties:
Magnetization = 0.0 μB/f.u.
Space-group type = P4/mmm, No. 123
Formation energy without anion corrections = 0.06 eV per atom
D(E_F) = 0.72 states/eV/atom

=====

A plane-wave DFT calculation with PBE was carried out for a relaxed Pr3Sn2GePd9 crystal.

```
15
Lattice="6.8870 0.0000 0.0000 -3.4435 5.9644 0.0000 0.0000 0.0000 8.6697" Properties=species:S:1:pos:R:3 pbc="T T T"
Pr 0.0000 0.0000 0.0000
Pr 0.0000 3.9762 6.2724
Pr 3.4435 1.9881 2.3973
Sn 0.0000 3.9762 1.7706
Sn 3.4435 1.9881 6.8991
Ge 0.0000 0.0000 4.3348
Pd -1.7218 2.9822 0.0000
Pd 0.0000 1.5821 2.4877
Pd -2.0734 5.1733 2.4877
Pd 1.3701 0.7910 6.1819
Pd 3.4435 0.0000 0.0000
Pd 1.7218 2.9822 0.0000
Pd 2.0734 5.1733 2.4877
Pd 5.5169 0.7910 6.1819
Pd 3.4435 4.3823 6.1819
```

Computed properties:
Magnetization = 0.0 μB/f.u.
Formation energy = -455 meV per atom
Space-group type = P-3m1, No. 164
D(E_F) = 0.47 states/eV/atom

=====

A plane-wave DFT calculation with PBE was carried out for a relaxed Gd12Tc3H5 crystal.

```
80
Lattice="-7.6197 7.6197 7.6197 7.6197 -7.6197 7.6197 7.6197 7.6197 -7.6197" Properties=species:S:1:pos:R:3 pbc="T T T"
Gd 2.3636 -0.4922 0.9347
Gd 9.0659 4.7446 -4.3020
Gd 7.1275 -0.9347 2.3636
Gd 9.9833 0.4922 0.9347
Gd 9.0659 -2.8751 4.3020
Gd 11.9217 -1.4462 2.8751
Gd 0.9347 2.3636 -0.4922
Gd 10.4948 3.3177 -1.4462
Gd 4.7446 4.3020 -1.4462
Gd 6.6849 2.3636 0.4922
Gd -0.4922 0.9347 2.3636
Gd 4.3020 -1.4462 4.7446
Gd 7.1275 6.6849 -2.3636
Gd 4.3020 1.4462 2.8751
Gd 4.7446 -4.3020 9.0659
Gd 6.6849 -2.3636 7.1275
Gd 2.8751 4.3020 1.4462
Gd 8.5544 5.2560 0.4922
Gd 2.3636 7.1275 -0.9347
Gd 4.3020 9.0659 -2.8751
Gd 7.1275 0.9347 5.2560
Gd 9.0659 2.8751 3.3177
Gd 1.4462 2.8751 4.3020
Gd 2.3636 0.4922 6.6849
Gd 5.2560 7.1275 0.9347
Gd 6.1734 4.7446 3.3177
Gd -1.4462 4.7446 4.3020
Gd 0.4922 6.6849 2.3636
Gd 3.3177 -1.4462 10.4948
Gd 5.2560 0.4922 8.5544
Gd -0.9347 2.3636 7.1275
Gd 4.7446 3.3177 6.1734
Gd 0.9347 9.9833 0.4922
Gd 2.8751 11.9217 -1.4462
Gd 3.3177 6.1734 4.7446
Gd 0.4922 0.9347 9.9833
Gd 3.3177 9.0659 2.8751
Gd 8.1118 6.6849 5.2560
Gd 0.9347 5.2560 7.1275
Gd 2.8751 3.3177 9.0659
Gd -2.8751 4.3020 9.0659
Gd 6.6849 5.2560 8.1118
Gd -4.3020 9.0659 4.7446
Gd -1.4462 10.4948 3.3177
Gd -2.3636 7.1275 6.6849
Gd 0.4922 8.5544 5.2560
Gd -1.4462 2.8751 11.9217
Gd 5.2560 8.1118 6.6849
Tc 3.8098 1.9049 0.0000
Tc 7.6197 3.8098 -1.9049
Tc 1.9049 0.0000 3.8098
Tc 9.5246 0.0000 3.8098
Tc 0.0000 3.8098 1.9049
Tc 3.8098 -1.9049 7.6197
Tc 3.8098 9.5246 0.0000
Tc 7.6197 3.8098 5.7147
Tc -1.9049 7.6197 3.8098
Tc 5.7147 7.6197 3.8098
Tc 0.0000 3.8098 9.5246
Tc 3.8098 5.7147 7.6197
H 0.0000 0.0000 0.0000
H 3.8098 3.8098 -3.8098
H 3.8098 -3.8098 3.8098
H 7.6197 0.0000 0.0000
H 11.4295 1.9049 0.0000
H 7.6197 -3.8098 5.7147
H 5.7147 7.6197 -3.8098
H 5.7147 0.0000 3.8098
H 3.8098 5.7147 0.0000
H 7.6197 3.8098 1.9049
H -3.8098 3.8098 3.8098
H 0.0000 7.6197 0.0000
H 0.0000 0.0000 7.6197
H 3.8098 3.8098 3.8098
H 0.0000 3.8098 5.7147
H 3.8098 1.9049 7.6197
H 1.9049 7.6197 3.8098
H 1.9049 0.0000 11.4295
H 0.0000 11.4295 1.9049
H -3.8098 5.7147 7.6197
```

Computed properties:
Magnetization = 86.6 μB/f.u.
Final energy = -11.022 eV per atom
Space-group type = Ia-3d, No. 230
D(E_F) = 0.78 states/eV/atom

=====

What is the formula in the fourth record? Gd12Tc3H5